No. 1
{
  "formula": "CuAgPb2",
  "functional": "PBE",
  "state": "relaxed",
  "lattice": [[3.8043, 0.0000, 0.0000], [0.0000, 4.4648, 0.0000], [-1.8525, 0.0000, 5.4276]],
  "species": ["Cu", "Ag", "Pb", "Pb"],
  "frac_coords": [[0.0000, 0.0000, 0.0000], [0.8582, 0.5000, 0.7068], [0.2800, 0.0000, 0.5464], [0.5694, 0.5000, 0.1415]],
  "dos_ef_per_ev_cell": 1.16,
  "volume_a3_per_atom": 23.05,
  "crystal_system": "monoclinic",
  "ef_ev_per_atom": 0.138,
  "polymorph_energy_mev_per_atom": 0.3,
  "spacegroup": "Pm, No. 6"
}

No. 2
{
  "formula": "Cu2Ag2Pb",
  "functional": "PBE",
  "state": "relaxed",
  "lattice": [[7.5810, 0.0000, 0.0000], [0.0000, 7.5810, 0.0000], [0.0000, 0.0000, 3.1600]],
  "species": ["Cu", "Cu", "Cu", "Cu", "Ag", "Ag", "Ag", "Ag", "Pb", "Pb"],
  "frac_coords": [[0.1599, 0.3401, 0.0000], [0.3401, 0.8401, 0.0000], [0.6599, 0.1599, 0.0000], [0.8401, 0.6599, 0.0000], [0.1326, 0.6326, 0.5000], [0.3674, 0.1326, 0.5000], [0.6326, 0.8674, 0.5000], [0.8674, 0.3674, 0.5000], [0.0000, 0.0000, 0.5000], [0.5000, 0.5000, 0.5000]],
  "dos_ef_per_ev_cell": 1.88,
  "volume_a3_per_atom": 18.16,
  "crystal_system": "tetragonal",
  "ef_ev_per_atom": 0.206,
  "polymorph_energy_mev_per_atom": 40.2,
  "spacegroup": "P4/mbm, No. 127"
}

No. 3
{
  "formula": "CuAgPb2",
  "functional": "PBE",
  "state": "relaxed",
  "lattice": [[0.0000, 3.6201, 3.6201], [3.6201, 0.0000, 3.6201], [3.6201, 3.6201, 0.0000]],
  "species": ["Cu", "Ag", "Pb", "Pb"],
  "frac_coords": [[0.0000, 0.0000, 0.0000], [0.7500, 0.7500, 0.7500], [0.2500, 0.2500, 0.2500], [0.5000, 0.5000, 0.5000]],
  "dos_ef_per_ev_cell": 4.10,
  "volume_a3_per_atom": 23.72,
  "crystal_system": "cubic",
  "ef_ev_per_atom": 0.388,
  "polymorph_energy_mev_per_atom": 250.7,
  "spacegroup": "F-43m, No. 216"
}

No. 4
{
  "formula": "CuAgPb4",
  "functional": "PBE",
  "state": "relaxed",
  "lattice": [[0.0000, 4.5026, 4.5026], [4.5026, 0.0000, 4.5026], [4.5026, 4.5026, 0.0000]],
  "species": ["Cu", "Ag", "Pb", "Pb", "Pb", "Pb"],
  "frac_coords": [[0.0000, 0.0000, 0.0000], [0.2500, 0.2500, 0.2500], [0.1247, 0.6251, 0.6251], [0.6251, 0.1247, 0.6251], [0.6251, 0.6251, 0.1247], [0.6251, 0.6251, 0.6251]],
  "dos_ef_per_ev_cell": 2.22,
  "volume_a3_per_atom": 30.43,
  "crystal_system": "cubic",
  "ef_ev_per_atom": 0.566,
  "spacegroup": "F-43m, No. 216"
}

No. 5
{
  "formula": "Cu2Ag2Pb",
  "functional": "PBE",
  "state": "relaxed",
  "lattice": [[-1.9831, 1.9831, 6.0641], [1.9831, -1.9831, 6.0641], [1.9831, 1.9831, -6.0641]],
  "species": ["Cu", "Cu", "Ag", "Ag", "Pb"],
  "frac_coords": [[0.0992, 0.0992, 0.0000], [0.9008, 0.9008, 0.0000], [0.2500, 0.7500, 0.5000], [0.7500, 0.2500, 0.5000], [0.5000, 0.5000, 0.0000]],
  "dos_ef_per_ev_cell": 1.49,
  "volume_a3_per_atom": 19.08,
  "crystal_system": "tetragonal",
  "ef_ev_per_atom": 0.214,
  "polymorph_energy_mev_per_atom": 47.6,
  "spacegroup": "I4/mmm, No. 139"
}

No. 6
{
  "formula": "Cu2Ag2Pb",
  "functional": "PBE",
  "state": "relaxed",
  "lattice": [[7.2970, 0.0000, 0.0000], [0.0000, 7.2970, 0.0000], [0.0000, 0.0000, 3.3640]],
  "species": ["Cu", "Cu", "Cu", "Cu", "Ag", "Ag", "Ag", "Ag", "Pb", "Pb"],
  "frac_coords": [[0.1254, 0.3746, 0.0000], [0.3746, 0.8746, 0.0000], [0.6254, 0.1254, 0.0000], [0.8746, 0.6254, 0.0000], [0.1625, 0.6625, 0.5000], [0.3375, 0.1625, 0.5000], [0.6625, 0.8375, 0.5000], [0.8375, 0.3375, 0.5000], [0.0000, 0.0000, 0.0000], [0.5000, 0.5000, 0.0000]],
  "dos_ef_per_ev_cell": 2.98,
  "volume_a3_per_atom": 17.91,
  "crystal_system": "tetragonal",
  "ef_ev_per_atom": 0.166,
  "polymorph_energy_mev_per_atom": 0.0,
  "spacegroup": "P4/mbm, No. 127"
}

No. 7
{
  "formula": "PmCuAgPb",
  "functional": "PBE",
  "state": "relaxed",
  "lattice": [[0.0000, 3.5439, 3.5439], [3.5439, 0.0000, 3.5439], [3.5439, 3.5439, 0.0000]],
  "species": ["Pm", "Cu", "Ag", "Pb"],
  "frac_coords": [[0.0000, 0.0000, 0.0000], [0.2500, 0.2500, 0.2500], [0.7500, 0.7500, 0.7500], [0.5000, 0.5000, 0.5000]],
  "dos_ef_per_ev_cell": 1.60,
  "volume_a3_per_atom": 22.25,
  "crystal_system": "cubic",
  "ef_ev_per_atom": -0.218,
  "spacegroup": "F-43m, No. 216"
}

No. 8
{
  "formula": "CuReAgPb2",
  "functional": "PBE",
  "state": "relaxed",
  "lattice": [[5.1128, 0.0000, 0.0000], [0.0000, 5.1128, 0.0000], [0.0000, 0.0000, 4.8509]],
  "species": ["Cu", "Re", "Ag", "Pb", "Pb"],
  "frac_coords": [[0.0000, 0.0000, 0.0000], [0.0000, 0.0000, 0.5000], [0.5000, 0.5000, 0.5000], [0.0000, 0.5000, 0.0000], [0.5000, 0.0000, 0.0000]],
  "dos_ef_per_ev_cell": 3.33,
  "volume_a3_per_atom": 25.36,
  "crystal_system": "tetragonal",
  "ef_ev_per_atom": 1.234,
  "spacegroup": "P4/mmm, No. 123"
}

No. 9
{
  "formula": "CuAgPbS2",
  "functional": "PBE",
  "state": "relaxed",
  "lattice": [[6.8317, 0.0000, 0.0000], [0.0000, 4.5239, 0.0000], [-1.3890, 0.0000, 7.2603]],
  "species": ["Cu", "Cu", "Ag", "Ag", "Pb", "Pb", "S", "S", "S", "S"],
  "frac_coords": [[0.0000, 0.0000, 0.0000], [0.0000, 0.0000, 0.5000], [0.0000, 0.4973, 0.2500], [0.0000, 0.5027, 0.7500], [0.5000, 0.1842, 0.7500], [0.5000, 0.8158, 0.2500], [0.2596, 0.2797, 0.0450], [0.2596, 0.7203, 0.5450], [0.7404, 0.2797, 0.4550], [0.7404, 0.7203, 0.9550]],
  "volume_a3_per_atom": 22.44,
  "crystal_system": "monoclinic",
  "spacegroup": "P2/c, No. 13",
  "e_form_raw_ev_per_atom": -0.262
}

No. 10
{
  "formula": "SmCuAgPb",
  "functional": "PBE",
  "state": "relaxed",
  "lattice": [[0.0000, 3.5347, 3.5347], [3.5347, 0.0000, 3.5347], [3.5347, 3.5347, 0.0000]],
  "species": ["Sm", "Cu", "Ag", "Pb"],
  "frac_coords": [[0.0000, 0.0000, 0.0000], [0.7500, 0.7500, 0.7500], [0.2500, 0.2500, 0.2500], [0.5000, 0.5000, 0.5000]],
  "dos_ef_per_ev_cell": 1.54,
  "volume_a3_per_atom": 22.08,
  "crystal_system": "cubic",
  "ef_ev_per_atom": -0.214,
  "spacegroup": "F-43m, No. 216"
}

No. 11
{
  "formula": "TbCuAgPb",
  "functional": "PBE",
  "state": "relaxed",
  "lattice": [[0.0000, 3.5018, 3.5018], [3.5018, 0.0000, 3.5018], [3.5018, 3.5018, 0.0000]],
  "species": ["Tb", "Cu", "Ag", "Pb"],
  "frac_coords": [[0.0000, 0.0000, 0.0000], [0.2500, 0.2500, 0.2500], [0.7500, 0.7500, 0.7500], [0.5000, 0.5000, 0.5000]],
  "dos_ef_per_ev_cell": 1.33,
  "volume_a3_per_atom": 21.47,
  "crystal_system": "cubic",
  "ef_ev_per_atom": -0.202,
  "spacegroup": "F-43m, No. 216"
}

No. 12
{
  "formula": "CuTcAg2Pb",
  "functional": "PBE",
  "state": "relaxed",
  "lattice": [[5.2680, 0.0000, 0.0000], [0.0000, 5.2680, 0.0000], [0.0000, 0.0000, 4.8730]],
  "species": ["Cu", "Tc", "Ag", "Ag", "Pb"],
  "frac_coords": [[0.0000, 0.0000, 0.0000], [0.5000, 0.5000, 0.0000], [0.0000, 0.5000, 0.5000], [0.5000, 0.0000, 0.5000], [0.0000, 0.0000, 0.5000]],
  "dos_ef_per_ev_cell": 3.42,
  "volume_a3_per_atom": 27.05,
  "crystal_system": "tetragonal",
  "ef_ev_per_atom": 1.514,
  "spacegroup": "P4/mmm, No. 123"
}